Entry from the Alexandria database: crystalline CaMoW2 at its relaxed geometry (PBE).

Summary:
Energy relative to the lowest polymorph listed for this composition ... 0.017 eV/atom
Energy of formation ... 12.4 kcal/mol of atoms

a b c (Å): 2.807 2.807 9.729
angles (deg): 90.00 90.00 109.17
Fractional coordinates of all 4 atoms:
Mo 0.500 0.500 0.750
Ca 0.500 0.500 0.250
W 0.000 0.000 0.972
W 0.000 0.000 0.528


Entry from the Alexandria database: crystalline LaZrTl2 at its relaxed geometry (PBE).

Summary:
Energy of formation ... 5.9 kcal/mol of atoms

a b c (Å): 5.472 5.472 5.472
angles (deg): 60.00 60.00 60.00
Site moments in Bohr magnetons follow the coordinates.
Fractional coordinates of all 4 atoms:
La 0.500 0.500 0.500  0.52
Tl 0.000 0.000 0.000  0.04
Tl 0.250 0.250 0.250  0.04
Zr 0.750 0.750 0.750  1.39